DFT (PBE-GGA) results for an optimized crystal structure of TaAlTe2.

a = 5.621 Å, b = 5.621 Å, c = 5.621 Å
α = 135.03°, β = 135.03°, γ = 65.48°
Positions (direct):
Te 0.000 0.000 0.000
Te 0.250 0.750 0.500
Al 0.500 0.500 0.000
Ta 0.750 0.250 0.500

Calculated values
Total magnetic moment in Bohr magnetons per cell: 0.74
Energy relative to the elements, uncorrected in eV per atom: 0.519
SG: I-4m2, No. 119
Crystal system: tetragonal